(1)
# K3Pm3SnS8

Crystalline K3Pm3SnS8 at its relaxed geometry (PBE, the Alexandria database).

Cell and atoms, written as CIF:
```
data_K3Pm3SnS8
_symmetry_space_group_name_H-M 'R -3 m'
_symmetry_Int_Tables_number 166
_symmetry_space_group_name_Hall '-R 3 2"'
_cell_length_a 8.1568
_cell_length_b 8.1568
_cell_length_c 22.6034
_cell_angle_alpha 90.00
_cell_angle_beta 90.00
_cell_angle_gamma 120.00
loop_
_atom_site_label
_atom_site_type_symbol
_atom_site_fract_x
_atom_site_fract_y
_atom_site_fract_z
_atom_site_occupancy
K1 K 0.0000 0.5000 0.0000 1
Pm1 Pm 0.0000 0.5000 0.5000 1
Sn1 Sn 0.0000 0.0000 0.5000 1
S1 S 0.0000 0.0000 0.2348 1
S2 S 0.0229 0.5114 0.2321 1
```

## Properties
Raw formation energy   -1.54 eV/atom

(2)
# Fe2TcRu

Crystalline Fe2TcRu at its relaxed geometry (PBE, the Alexandria database).

Cell and atoms, written as CIF:
```
data_Fe2TcRu
_symmetry_space_group_name_H-M 'I -4 m 2'
_symmetry_Int_Tables_number 119
_symmetry_space_group_name_Hall 'I -4 -2'
_cell_length_a 3.706
_cell_length_b 3.706
_cell_length_c 7.471
_cell_angle_alpha 90.00
_cell_angle_beta 90.00
_cell_angle_gamma 90.00
loop_
_atom_site_label
_atom_site_type_symbol
_atom_site_fract_x
_atom_site_fract_y
_atom_site_fract_z
_atom_site_occupancy
Fe1 Fe 0.000 0.000 0.000 1
Fe2 Fe 0.000 0.500 0.250 1
Tc1 Tc 0.000 0.000 0.500 1
Ru1 Ru 0.000 0.500 0.750 1
```

## Properties
E_form   2.5 kcal/mol of atoms

Number 1: size of the total moment 0.0 μB per formula unit, volume 28.9 Å³/atom. Number 2: size of the total moment 3.5 μB per formula unit, volume 12.8 Å³/atom.